The following is a DFT calculation (PBE+U) of crystalline MoS3O at its relaxed geometry.

Cell lengths 4.6224, 4.6224, 4.6224 Å; angles 90.00, 90.00, 90.00 degrees
With the nearest neighbours (Å) after each atom.
Atoms (fractional coordinates):
Mo (0.0000, 0.0000, 0.0000)  6 S 2.31
S (0.5000, 0.0000, 0.0000)  2 Mo 2.31
O (0.5000, 0.5000, 0.5000)  12 S 3.27
S (0.0000, 0.5000, 0.0000)  2 Mo 2.31
S (0.0000, 0.0000, 0.5000)  2 Mo 2.31

Output
**Total magnetization**: 0.00 μB per cell
**DOS(E_F)**: 8.50 states/eV/f.u.
**Calculated density**: 3.5 g/cm³
**VASP energy**: -19.6 eV for the cell shown
**Energy relative to the lowest polymorph listed for this composition**: 197 meV per atom